Compound: YTaHg
Source: Alexandria via LeMat-Bulk
Functional: meta-GGA SCAN
Structure: PBEsol geometry

Output
The formation energy from the elements is 568 meV/atom. As for the space group: F-43m. The calculation puts the excess energy over the best structure of this formula in the dataset at 0.00 eV per formula unit. As for the crystal system: cubic.

a b c (Å): 4.7236 4.7236 4.7236
angles (deg): 60.00 60.00 60.00
Last column: nearest neighbours and their distance in Å.
Sites, in units of the cell vectors:
Hg 0.2500 0.2500 0.2500  4 Ta 2.89, 4 Y 2.89
Ta 0.0000 0.0000 0.0000  4 Hg 2.89
Y 0.5000 0.5000 0.5000  4 Hg 2.89



Compound: Ba3In2Cl2O5
Source: Alexandria via LeMat-Bulk
Functional: meta-GGA SCAN
Structure: PBEsol geometry

Output
The calculation puts the formation energy without anion corrections at -2854 kJ/mol of formula units. As for the space group: I4/mmm. As for the crystal system: tetragonal.

a b c (Å): 4.2455 4.2455 12.8166
angles (deg): 99.53 99.53 90.00
Last column: nearest neighbours and their distance in Å.
Sites, in units of the cell vectors:
O 0.4058 0.9058 0.8116  2 In 2.14
O 0.0942 0.5942 0.1884  2 In 2.14
O 0.5942 0.0942 0.1884  2 In 2.14
O 0.0000 0.0000 0.0000  2 In 2.07
O 0.9058 0.4058 0.8116  2 In 2.14
Ba 0.3383 0.3383 0.6767  4 O 2.71
Ba 0.6617 0.6617 0.3233  4 O 2.71
Ba 0.5000 0.5000 0.0000  12 O 3.00-3.17
Cl 0.7949 0.7949 0.5898  1 In 3.04, 5 Ba 3.19-3.32
Cl 0.2051 0.2051 0.4102  1 In 3.04, 5 Ba 3.19-3.32
In 0.9170 0.9170 0.8339  5 O 2.07-2.14
In 0.0830 0.0830 0.1661  5 O 2.07-2.14



Compound: NiAsW2
Source: Alexandria via LeMat-Bulk
Functional: meta-GGA SCAN
Structure: PBEsol geometry

Output
The formation energy from the elements is 350 meV/atom. As for the space group: P4/mmm. As for the crystal system: tetragonal.

a b c (Å): 2.9431 2.9431 6.4373
angles (deg): 90.00 90.00 90.00
Last column: nearest neighbours and their distance in Å.
Sites, in units of the cell vectors:
W 0.0000 0.0000 0.7517  4 As 2.62, 4 Ni 2.64
W 0.0000 0.0000 0.2483  4 As 2.62, 4 Ni 2.64
As 0.5000 0.5000 0.0000  8 W 2.62
Ni 0.5000 0.5000 0.5000  8 W 2.64, 4 Ni 2.94



Compound: ReAgIr
Source: Alexandria via LeMat-Bulk
Functional: meta-GGA SCAN
Structure: PBEsol geometry

Output
The formation energy from the elements is 751 meV/atom. As for the space group: F-43m. The calculation puts the excess energy over the best structure of this formula in the dataset at 1.54 eV per formula unit. As for the crystal system: cubic.

a b c (Å): 4.2031 4.2031 4.2031
angles (deg): 60.00 60.00 60.00
Last column: nearest neighbours and their distance in Å.
Sites, in units of the cell vectors:
Ag 0.5000 0.5000 0.5000  4 Ir 2.57
Re 0.0000 0.0000 0.0000  4 Ir 2.57
Ir 0.2500 0.2500 0.2500  4 Re 2.57, 4 Ag 2.57



Compound: RbNb2H
Source: Alexandria via LeMat-Bulk
Functional: meta-GGA SCAN
Structure: PBEsol geometry

Output
The calculated total energy is -20.13 eV/atom. As for the space group: Fm-3m. As for the crystal system: cubic.

a b c (Å): 4.5782 4.5782 4.5782
angles (deg): 60.00 60.00 60.00
Last column: nearest neighbours and their distance in Å.
Sites, in units of the cell vectors:
Nb 0.2500 0.2500 0.2500  4 H 2.80, 4 Rb 2.80
Nb 0.7500 0.7500 0.7500  4 H 2.80, 4 Rb 2.80
Rb 0.5000 0.5000 0.5000  8 Nb 2.80
H 0.0000 0.0000 0.0000  8 Nb 2.80



Compound: LiTeMoI2
Source: Alexandria via LeMat-Bulk
Functional: meta-GGA SCAN
Structure: PBEsol geometry

Output
The calculation puts the formation energy without anion corrections at -10 kJ/mol of formula units. As for the space group: P4/mmm. As for the crystal system: tetragonal.

a b c (Å): 5.1817 5.6690 5.6690
angles (deg): 90.00 90.00 90.00
Last column: nearest neighbours and their distance in Å.
Sites, in units of the cell vectors:
Mo 0.0000 0.0000 0.0000  2 Te 2.59, 4 I 2.83
Te 0.5000 0.0000 0.0000  2 Mo 2.59
I 0.0000 0.0000 0.5000  2 Mo 2.83
I 0.0000 0.5000 0.0000  2 Mo 2.83
Li 0.5000 0.5000 0.5000  8 I 3.84, 4 Te 4.01